[1]
A plane-wave DFT calculation with PBE-GGA was carried out for an optimized crystal structure of HfZr2AgC.

Results
Theoretical density = 8.59 g/cm³
Magnetic moment = 0.00 Bohr magnetons per cell
Energy of formation from the pure elements = -0.3386 eV/atom
Symmetry = P4/mmm

a = 4.5526 Å, b = 4.5526 Å, c = 4.4871 Å
α = 90.00°, β = 90.00°, γ = 90.00°
With the nearest neighbours (Å) after each atom.
Element x y z (fractional)
Zr (0.5000, 0.0000, 0.0000)  2 C 2.28
Zr (0.0000, 0.5000, 0.0000)  2 C 2.28
C (0.0000, 0.0000, 0.0000)  2 Hf 2.24, 4 Zr 2.28
Hf (0.0000, 0.0000, 0.5000)  2 C 2.24
Ag (0.5000, 0.5000, 0.5000)  8 Zr 3.20, 4 Hf 3.22

[2]
A plane-wave DFT calculation with PBE-GGA was carried out for an optimized crystal structure of EuErBr2.

Results
Theoretical density = 6.34 g/cm³
Magnetic moment = 7.60 Bohr magnetons per cell
Symmetry = R-3m
E = -22.4 eV/cell

a = 3.7470 Å, b = 3.7470 Å, c = 10.5395 Å
α = 79.76°, β = 79.76°, γ = 60.00°
With the nearest neighbours (Å) after each atom.
Element x y z (fractional)
Br (0.1014, 0.1014, 0.6959)  3 Er 2.96, 1 Eu 3.14
Br (0.8986, 0.8986, 0.3041)  3 Er 2.96, 1 Eu 3.14
Er (0.5000, 0.5000, 0.5000)  6 Br 2.96
Eu (0.0000, 0.0000, 0.0000)  2 Br 3.14

[3]
A plane-wave DFT calculation with PBE-GGA was carried out for an optimized crystal structure of Zn2CrW.

Results
Theoretical density = 10.74 g/cm³
Magnetic moment = 0.00 Bohr magnetons per cell
Energy of formation from the pure elements = 0.2881 eV/atom
Energy relative to the lowest polymorph listed for this composition = 0.44 eV per formula unit
Symmetry = Cm

a = 4.6479 Å, b = 4.6479 Å, c = 4.8993 Å
α = 84.78°, β = 84.78°, γ = 32.55°
With the nearest neighbours (Å) after each atom.
Element x y z (fractional)
W (0.2515, 0.2515, 0.2697)  3 Cr 2.51-2.75, 2 W 2.61, 5 Zn 2.74-2.81
Zn (0.7522, 0.7522, 0.7624)  5 Zn 2.56-2.73, 4 W 2.74-2.81, 3 Cr 2.77-2.78
Zn (0.0005, 0.0005, 0.9845)  5 Zn 2.56-2.73, 3 W 2.75-2.83, 4 Cr 2.77-2.78
Cr (0.4958, 0.4958, 0.4834)  3 W 2.51-2.75, 2 Cr 2.61, 7 Zn 2.77-2.78

[4]
A plane-wave DFT calculation with PBE-GGA was carried out for an optimized crystal structure of PmAlNiRh.

Results
Theoretical density = 7.96 g/cm³
Magnetic moment = 0.00 Bohr magnetons per cell
Energy of formation from the pure elements = -0.5003 eV/atom
Symmetry = F-43m

a = 4.6161 Å, b = 4.6161 Å, c = 4.6161 Å
α = 60.00°, β = 60.00°, γ = 60.00°
With the nearest neighbours (Å) after each atom.
Element x y z (fractional)
Ni (0.2500, 0.2500, 0.2500)  4 Pm 2.83, 4 Al 2.83
Pm (0.0000, 0.0000, 0.0000)  4 Ni 2.83, 4 Rh 2.83
Rh (0.7500, 0.7500, 0.7500)  4 Al 2.83, 4 Pm 2.83
Al (0.5000, 0.5000, 0.5000)  4 Rh 2.83, 4 Ni 2.83

- Look up the magnetic moment of the fourth one.
  0.00 Bohr magnetons per cell